No. 1
Compound: ZrP2Pb
Source: Alexandria
Functional: GGA-PBE
Structure: relaxed

Output
The total energy comes out at -25.29 eV/cell. As for the energy relative to the elements: -0.554 eV/atom. The space group is No. 166. The value obtained for the total magnetization is 0.0 μB/f.u. Its crystal system is trigonal.

a b c (Å): 7.2669 7.2669 7.2669
angles (deg): 30.84 30.84 30.84
With the nearest neighbours (Å) after each atom.
Fractional positions:
Zr 0.0000 0.0000 0.0000  6 P 2.69
P 0.2610 0.2610 0.2610  3 Zr 2.69, 3 Pb 2.97
P 0.7390 0.7390 0.7390  3 Zr 2.69, 3 Pb 2.97
Pb 0.5000 0.5000 0.5000  6 P 2.97


No. 2
Compound: ZrPPb3
Source: Alexandria
Functional: GGA-PBE
Structure: relaxed

Output
The total energy comes out at -20.73 eV/cell. As for the energy relative to the elements: 0.871 eV/atom. The space group is No. 221. The value obtained for the total magnetization is 0.0 μB/f.u. Its crystal system is cubic. The energy above the most stable polymorph in this dataset comes out at 122.1 meV per atom.

a b c (Å): 5.6505 5.6505 5.6505
angles (deg): 90.00 90.00 90.00
With the nearest neighbours (Å) after each atom.
Fractional positions:
Zr 0.0000 0.0000 0.0000  6 Pb 2.83
P 0.5000 0.5000 0.5000  12 Pb 4.00
Pb 0.0000 0.0000 0.5000  2 Zr 2.83
Pb 0.0000 0.5000 0.0000  2 Zr 2.83
Pb 0.5000 0.0000 0.0000  2 Zr 2.83


No. 3
Compound: ZrPPb3
Source: Alexandria
Functional: GGA-PBE
Structure: relaxed

Output
The total energy comes out at -21.34 eV/cell. As for the energy relative to the elements: 0.749 eV/atom. The space group is No. 221. The value obtained for the total magnetization is 0.0 μB/f.u. Its crystal system is cubic. The energy above the most stable polymorph in this dataset comes out at 0.0 meV per atom.

a b c (Å): 5.3226 5.3226 5.3226
angles (deg): 90.00 90.00 90.00
With the nearest neighbours (Å) after each atom.
Fractional positions:
Zr 0.0000 0.0000 0.0000  12 Pb 3.76
P 0.5000 0.5000 0.5000  6 Pb 2.66
Pb 0.0000 0.5000 0.5000  2 P 2.66
Pb 0.5000 0.0000 0.5000  2 P 2.66
Pb 0.5000 0.5000 0.0000  2 P 2.66